1.
10
Lattice="-3.705 6.912 3.191 3.705 -6.912 3.191 3.705 6.912 -3.191" Properties=species:S:1:pos:R:3 comment="Cs2RhS2 | Alexandria | PBE | optimized geometry" magmom_total_mub_per_atom=0.00 total_energy_ev_per_atom=-4.130 pbc="T T T"
Cs 1.201 2.061 0.000
Cs 1.201 -2.061 3.191
Cs 2.505 8.974 0.000
Cs 2.505 4.851 3.191
Rh 3.705 0.000 1.595
Rh 0.000 6.912 1.595
S 4.912 1.255 0.000
S 1.207 5.658 0.000
S 2.499 1.255 3.191
S -1.207 5.658 3.191

***

2.
8
Lattice="3.623 0.000 0.000 0.000 8.435 0.000 -1.792 0.000 6.703" Properties=species:S:1:pos:R:3 comment="CsRhS2 | Alexandria | PBE | optimized geometry" magmom_total_mub_per_atom=0.00 total_energy_ev_per_atom=-4.681 pbc="T T T"
Cs 0.003 2.109 2.481
Cs 1.828 6.326 4.222
Rh -0.001 6.326 0.846
Rh 1.832 2.109 5.857
S 0.020 0.616 5.762
S 0.020 3.602 5.762
S 1.811 4.834 0.941
S 1.811 7.819 0.941

***

3.
4
Lattice="0.000 4.055 4.055 4.055 0.000 4.055 4.055 4.055 0.000" Properties=species:S:1:pos:R:3 comment="Cs2RhS | Alexandria | PBE | optimized geometry" magmom_total_mub_per_atom=0.26 total_energy_ev_per_atom=-2.898 pbc="T T T"
Cs 2.028 2.028 2.028
Cs 6.083 6.083 6.083
Rh 0.000 0.000 0.000
S 4.055 4.055 4.055

***

4.
5
Lattice="4.893 0.000 0.000 0.000 4.893 0.000 0.000 0.000 4.893" Properties=species:S:1:pos:R:3 comment="CsRhS3 | Alexandria | PBE | optimized geometry" magmom_total_mub_per_atom=0.59 total_energy_ev_per_atom=-4.201 pbc="T T T"
Cs 0.000 0.000 0.000
Rh 2.447 2.447 2.447
S 0.000 2.447 2.447
S 2.447 0.000 2.447
S 2.447 2.447 0.000

***

5.
8
Lattice="-6.267 6.267 2.218 6.267 -6.267 2.218 6.267 6.267 -2.218" Properties=species:S:1:pos:R:3 comment="Cs2RhS | Alexandria | PBE | optimized geometry" magmom_total_mub_per_atom=0.00 total_energy_ev_per_atom=-3.664 pbc="T T T"
Cs 1.066 3.133 0.554
Cs -3.133 5.201 1.663
Cs -1.066 9.400 0.554
Cs 3.133 7.333 1.663
Rh 0.000 0.000 0.000
Rh 0.000 6.267 1.109
S 6.267 0.000 1.109
S 0.000 0.000 2.218

***

6.
11
Lattice="3.178 -5.501 0.000 3.178 5.501 0.000 -2.112 0.000 7.636" Properties=species:S:1:pos:R:3 comment="Cs2Rh3S6 | Alexandria | PBE | optimized geometry" magmom_total_mub_per_atom=0.00 total_energy_ev_per_atom=-5.056 pbc="T T T"
Cs 3.178 3.668 0.000
Cs 3.178 -3.668 0.000
Rh -1.056 0.000 3.818
Rh 2.122 1.852 3.818
Rh 2.122 -1.852 3.818
S 0.012 1.818 4.968
S 1.080 0.000 2.669
S 0.012 -1.818 4.968
S 4.231 1.818 2.668
S 3.164 0.000 4.967
S 4.231 -1.818 2.668

***

7.
5
Lattice="4.619 0.000 0.000 0.000 4.619 0.000 0.000 0.000 4.619" Properties=species:S:1:pos:R:3 comment="CsRh3S | Alexandria | PBE | optimized geometry" magmom_total_mub_per_atom=0.00 total_energy_ev_per_atom=-5.035 pbc="T T T"
Cs 0.000 0.000 0.000
Rh 0.000 2.310 2.310
Rh 2.310 0.000 2.310
Rh 2.310 2.310 0.000
S 2.310 2.310 2.310

***

8.
10
Lattice="3.286 1.897 7.344 -3.286 1.897 7.344 0.000 -3.794 7.344" Properties=species:S:1:pos:R:3 comment="CsRhS3 | Alexandria | PBE | optimized geometry" magmom_total_mub_per_atom=0.00 total_energy_ev_per_atom=-4.570 pbc="T T T"
Cs 0.000 0.000 2.573
Cs 0.000 0.000 19.457
Rh 0.000 0.000 7.351
Rh 0.000 0.000 14.679
S -1.649 -0.952 8.755
S 0.000 -1.904 13.276
S -1.649 0.952 13.276
S 1.649 -0.952 8.755
S 0.000 1.904 8.755
S 1.649 0.952 13.276

***

9.
18
Lattice="7.480 -5.348 0.000 7.480 5.348 0.000 -0.964 0.000 6.836" Properties=species:S:1:pos:R:3 comment="Cs3Rh2S4 | Alexandria | PBE | optimized geometry" magmom_total_mub_per_atom=0.00 total_energy_ev_per_atom=-4.442 pbc="T T T"
Cs 6.757 4.557 5.127
Cs 5.223 1.505 3.119
Cs 9.256 1.505 0.299
Cs 4.741 -1.505 6.537
Cs 8.774 -1.505 3.717
Cs 7.239 -4.557 1.709
Rh 2.395 1.375 6.524
Rh 2.877 -1.375 3.106
Rh 11.120 1.375 3.730
Rh 11.602 -1.375 0.312
S 2.265 0.506 4.347
S 4.570 2.238 6.612
S 2.747 -0.506 0.929
S 8.944 2.238 3.642
S 5.052 -2.238 3.194
S 11.250 0.506 5.907
S 9.426 -2.238 0.224
S 11.732 -0.506 2.489

***

10.
12
Lattice="6.004 0.000 0.000 -3.002 5.200 0.000 0.000 0.000 10.852" Properties=species:S:1:pos:R:3 comment="CsTe2RhS8 | Alexandria | PBE | optimized geometry" magmom_total_mub_per_atom=0.00 total_energy_ev_per_atom=-3.997 pbc="T T T"
Cs 0.000 0.000 0.000
Te 0.000 3.467 7.504
Te 3.002 1.733 3.348
Rh 0.000 0.000 5.426
S -1.756 3.741 3.997
S 0.641 1.809 3.997
S 0.000 3.467 9.786
S 1.887 0.349 6.855
S 1.115 4.851 3.997
S 3.002 1.733 1.066
S 2.361 3.391 6.855
S 4.759 1.459 6.855

***

11.
16
Lattice="7.528 -3.972 0.000 7.528 3.972 0.000 -4.494 0.000 8.193" Properties=species:S:1:pos:R:3 comment="Cs4Th3RhS8 | Alexandria | PBE | optimized geometry" magmom_total_mub_per_atom=0.00 total_energy_ev_per_atom=-5.540 pbc="T T T"
Cs 0.000 0.000 0.000
Cs 3.764 1.986 0.000
Cs 3.764 -1.986 0.000
Cs 7.528 0.000 0.000
Th -2.247 0.000 4.097
Th 1.517 1.986 4.097
Th 1.517 -1.986 4.097
Rh 5.281 0.000 4.097
S 0.185 0.000 5.623
S 2.181 0.000 2.312
S 4.095 1.759 5.382
S 6.468 1.759 2.811
S 4.095 -1.759 5.382
S 6.468 -1.759 2.811
S 8.382 0.000 5.881
S 10.378 0.000 2.570

***

12.
12
Lattice="8.889 0.000 0.000 0.000 3.635 0.000 -4.200 0.000 8.789" Properties=species:S:1:pos:R:3 comment="CsTiRhS3 | Alexandria | PBE | optimized geometry" magmom_total_mub_per_atom=0.00 total_energy_ev_per_atom=-5.803 pbc="T T T"
Cs 1.021 0.909 2.238
Cs 3.668 2.727 6.551
Ti -0.726 2.727 7.427
Ti 5.415 0.909 1.362
Rh -1.694 0.909 5.298
Rh 6.383 2.727 3.491
S -2.384 0.909 7.580
S -0.317 2.727 5.041
S 3.695 2.727 1.148
S 0.994 0.909 7.642
S 5.007 0.909 3.748
S 7.073 2.727 1.210

***

13.
16
Lattice="0.000 6.816 12.841 2.939 0.000 12.841 2.939 6.816 0.000" Properties=species:S:1:pos:R:3 comment="Cs2TiRhS4 | Alexandria | PBE | optimized geometry" magmom_total_mub_per_atom=0.13 total_energy_ev_per_atom=-5.240 pbc="T T T"
Cs 2.204 5.112 1.319
Cs 3.674 8.520 7.739
Cs 2.204 5.112 17.943
Cs 3.674 8.520 24.364
Ti 0.735 1.704 3.210
Ti 5.143 11.928 22.472
Rh 2.204 5.112 9.631
Rh 3.674 8.520 16.051
S 2.167 2.889 4.531
S 3.711 6.297 10.951
S 2.241 7.336 4.531
S 2.241 2.889 14.731
S 3.637 10.744 10.951
S 3.637 6.297 21.152
S 2.167 7.336 14.731
S 3.711 10.744 21.152

***

14.
14
Lattice="6.531 0.000 0.000 0.000 6.003 0.000 -2.541 0.000 9.060" Properties=species:S:1:pos:R:3 comment="CsURhS4 | Alexandria | PBE | optimized geometry" magmom_total_mub_per_atom=0.09 total_energy_ev_per_atom=-6.114 pbc="T T T"
Cs 1.466 1.501 0.387
Cs 2.524 4.502 8.672
U 0.234 1.501 4.929
U 3.756 4.502 4.130
Rh 0.581 4.502 3.399
Rh 3.409 1.501 5.660
S -1.568 3.074 6.219
S -1.568 5.930 6.219
S 2.429 4.502 1.940
S 1.529 4.502 5.448
S 2.461 1.501 3.612
S 1.561 1.501 7.120
S 5.558 0.072 2.840
S 5.558 2.929 2.840

***

15.
9
Lattice="7.315 -1.984 0.000 7.315 1.984 0.000 -2.524 0.000 7.781" Properties=species:S:1:pos:R:3 comment="Cs2URh2S4 | Alexandria | PBE | optimized geometry" magmom_total_mub_per_atom=0.11 total_energy_ev_per_atom=-5.891 pbc="T T T"
Cs 1.872 0.000 0.528
Cs 10.234 0.000 7.253
U -1.262 0.000 3.890
Rh 3.372 0.000 3.954
Rh 8.734 0.000 3.827
S 1.108 0.000 5.038
S 5.243 0.000 5.531
S 6.863 0.000 2.250
S 10.997 0.000 2.743

***

16.
11
Lattice="3.328 -5.675 0.000 3.328 5.675 0.000 -2.206 0.000 8.356" Properties=species:S:1:pos:R:3 comment="Cs2U2RhS6 | Alexandria | PBE | optimized geometry" magmom_total_mub_per_atom=0.46 total_energy_ev_per_atom=-6.268 pbc="T T T"
Cs 3.328 3.770 0.000
Cs 3.328 -3.770 0.000
U 2.225 1.899 4.178
U 2.225 -1.899 4.178
Rh -1.103 0.000 4.178
S -0.019 1.816 5.655
S 1.021 0.000 2.715
S -0.019 -1.816 5.655
S 4.469 1.816 2.701
S 3.430 0.000 5.641
S 4.469 -1.816 2.701

***

17.
16
Lattice="0.000 7.049 12.508 2.822 0.000 12.508 2.822 7.049 0.000" Properties=species:S:1:pos:R:3 comment="Cs2VRhS4 | Alexandria | PBE | optimized geometry" magmom_total_mub_per_atom=0.26 total_energy_ev_per_atom=-5.318 pbc="T T T"
Cs 2.117 5.287 1.284
Cs 3.528 8.811 7.538
Cs 2.117 5.287 17.479
Cs 3.528 8.811 23.733
V 0.706 1.762 3.127
V 4.939 12.336 21.889
Rh 2.117 5.287 9.381
Rh 3.528 8.811 15.635
S 2.004 3.026 4.377
S 3.641 6.551 10.631
S 2.230 7.548 4.377
S 2.230 3.026 14.386
S 3.415 11.072 10.631
S 3.415 6.551 20.640
S 2.004 7.548 14.386
S 3.641 11.072 20.640

***

18.
8
Lattice="-6.505 6.505 2.513 6.505 -6.505 2.513 6.505 6.505 -2.513" Properties=species:S:1:pos:R:3 comment="Cs2SbRh | Alexandria | PBE | optimized geometry" magmom_total_mub_per_atom=0.00 total_energy_ev_per_atom=-3.361 pbc="T T T"
Cs 1.050 3.252 0.628
Cs -3.252 5.455 1.884
Cs -1.050 9.757 0.628
Cs 3.252 7.554 1.884
Sb 6.505 0.000 1.256
Sb 0.000 0.000 2.513
Rh 0.000 0.000 0.000
Rh 0.000 6.505 1.256

***

19.
4
Lattice="0.000 3.497 3.497 3.497 0.000 3.497 3.497 3.497 0.000" Properties=species:S:1:pos:R:3 comment="CsSbRh2 | Alexandria | PBE | optimized geometry" magmom_total_mub_per_atom=0.00 total_energy_ev_per_atom=-4.329 pbc="T T T"
Cs 0.000 0.000 0.000
Sb 3.497 3.497 3.497
Rh 1.748 1.748 1.748
Rh 5.245 5.245 5.245

***

20.
12
Lattice="8.196 -2.051 0.000 8.196 2.051 0.000 -3.606 0.000 9.098" Properties=species:S:1:pos:R:3 comment="CsSb2Rh3 | Alexandria | PBE | optimized geometry" magmom_total_mub_per_atom=0.00 total_energy_ev_per_atom=-5.564 pbc="T T T"
Cs 2.248 0.000 0.386
Cs 10.538 0.000 8.712
Sb 0.750 0.000 5.845
Sb 4.921 0.000 6.939
Sb 7.865 0.000 2.159
Sb 12.036 0.000 3.253
Rh -0.745 0.000 3.714
Rh 3.205 0.000 4.961
Rh 5.560 0.000 3.427
Rh 7.226 0.000 5.671
Rh 9.581 0.000 4.137
Rh 13.531 0.000 5.384

***

21.
8
Lattice="-3.908 3.908 3.770 3.908 -3.908 3.770 3.908 3.908 -3.770" Properties=species:S:1:pos:R:3 comment="CsSbRh2 | Alexandria | PBE | optimized geometry" magmom_total_mub_per_atom=0.00 total_energy_ev_per_atom=-4.533 pbc="T T T"
Cs 0.000 0.000 0.000
Cs 0.000 3.908 1.885
Sb 3.908 0.000 1.885
Sb 0.000 0.000 3.770
Rh 1.954 -1.237 2.827
Rh 2.671 1.954 0.942
Rh 1.954 5.145 -0.942
Rh 1.237 1.954 4.712

***

22.
14
Lattice="3.532 2.039 9.321 -3.532 2.039 9.321 0.000 -4.078 9.321" Properties=species:S:1:pos:R:3 comment="CsSb3Rh3 | Alexandria | PBE | optimized geometry" magmom_total_mub_per_atom=0.00 total_energy_ev_per_atom=-5.364 pbc="T T T"
Cs 0.000 0.000 4.908
Cs 0.000 0.000 23.054
Sb -2.029 0.334 11.044
Sb -1.304 -1.590 16.919
Sb 0.725 -1.924 11.044
Sb -0.725 1.924 16.919
Sb 1.304 1.590 11.044
Sb 2.029 -0.334 16.919
Rh -1.814 0.103 8.444
Rh 0.818 -1.623 8.444
Rh -0.996 -1.520 19.518
Rh 0.996 1.520 8.444
Rh -0.818 1.623 19.518
Rh 1.814 -0.103 19.518